1.
The following is a PBE calculation of a geometry-optimized Tl5Pb3F12 structure, from Alexandria.

Geometry as CIF:
```
data_Tl5Pb3F12
_space_group_name_H-M_alt 'P -6 2 m'
_space_group_IT_number 189
_space_group_name_Hall 'P -6 -2'
_cell_length_a 11.4241
_cell_length_b 11.4241
_cell_length_c 3.9013
_cell_angle_alpha 90.00
_cell_angle_beta 90.00
_cell_angle_gamma 120.00
loop_
_atom_site_label
_atom_site_fract_x
_atom_site_fract_y
_atom_site_fract_z
Tl1 0.0000 0.7106 0.0000
Tl2 0.3333 0.6667 0.0000
Pb1 0.0000 0.3479 0.5000
F1 0.0000 0.2219 0.0000
F2 0.0000 0.4775 0.0000
F3 0.2073 0.7598 0.5000
```

Calculated values
**Relative energy among the computed polymorphs**: 0.00 kcal/mol of atoms
**Final energy**: -85.2 eV/f.u.
**Uncorrected formation energy**: -1.99 eV/atom


2.
The following is a PBE calculation of a geometry-optimized Zr2N2O structure, from Alexandria.

Geometry as CIF:
```
data_Zr2N2O
_space_group_name_H-M_alt 'C 1 c 1'
_space_group_IT_number 9
_space_group_name_Hall 'C -2yc'
_cell_length_a 9.5263
_cell_length_b 5.6246
_cell_length_c 5.9308
_cell_angle_alpha 90.00
_cell_angle_beta 123.32
_cell_angle_gamma 90.00
loop_
_atom_site_label
_atom_site_fract_x
_atom_site_fract_y
_atom_site_fract_z
Zr1 0.0000 0.2315 0.0000
Zr2 0.2091 0.2623 0.6485
N1 0.0907 0.0466 0.8077
N2 0.2420 0.3999 0.3272
O1 0.4435 0.0954 0.8395
```

Calculated values
**Final energy**: -48.6 eV/f.u.
**Uncorrected formation energy**: -1.98 eV/atom


3.
The following is a PBE calculation of a geometry-optimized TbErTe2 structure, from Alexandria.

Geometry as CIF:
```
data_TbErTe2
_space_group_name_H-M_alt 'P 1 21 1'
_space_group_IT_number 4
_space_group_name_Hall 'P 2yb'
_cell_length_a 4.4534
_cell_length_b 6.8361
_cell_length_c 9.7001
_cell_angle_alpha 90.00
_cell_angle_beta 90.02
_cell_angle_gamma 90.00
loop_
_atom_site_label
_atom_site_fract_x
_atom_site_fract_y
_atom_site_fract_z
Tb1 0.2494 0.0000 0.0851
Er1 0.2498 0.1589 0.6770
Te1 0.2502 0.7787 0.8215
Te2 0.2500 0.9118 0.4119
```

Calculated values
**Relative energy among the computed polymorphs**: 8.64 kcal/mol of atoms
**Final energy**: -19.2 eV/f.u.
**Uncorrected formation energy**: -0.92 eV/atom


4.
The following is a PBE calculation of a geometry-optimized KCoCu2I6 structure, from Alexandria.

Geometry as CIF:
```
data_KCoCu2I6
_space_group_name_H-M_alt 'C 1 2/c 1'
_space_group_IT_number 15
_space_group_name_Hall '-C 2yc'
_cell_length_a 15.1145
_cell_length_b 13.7466
_cell_length_c 8.4118
_cell_angle_alpha 90.00
_cell_angle_beta 114.56
_cell_angle_gamma 90.00
loop_
_atom_site_label
_atom_site_fract_x
_atom_site_fract_y
_atom_site_fract_z
K1 0.0000 0.1728 0.2500
Co1 0.0000 0.1814 0.7500
Cu1 0.1929 0.4450 0.1769
I1 0.1137 0.0684 0.6777
I2 0.1184 0.2742 0.0139
I3 0.1486 0.4235 0.4400
```

Calculated values
**Final energy**: -29.0 eV/f.u.
**Uncorrected formation energy**: -0.33 eV/atom


5.
The following is a PBE calculation of a geometry-optimized Sr2CdHg structure, from Alexandria.

Geometry as CIF:
```
data_Sr2CdHg
_space_group_name_H-M_alt 'P 4 m m'
_space_group_IT_number 99
_space_group_name_Hall 'P 4 -2'
_cell_length_a 4.5735
_cell_length_b 4.5735
_cell_length_c 6.9748
_cell_angle_alpha 90.00
_cell_angle_beta 90.00
_cell_angle_gamma 90.00
loop_
_atom_site_label
_atom_site_fract_x
_atom_site_fract_y
_atom_site_fract_z
Sr1 0.0000 0.0000 0.0000
Sr2 0.5000 0.5000 0.3857
Cd1 0.0000 0.0000 0.5269
Hg1 0.5000 0.5000 0.8630
```

Calculated values
**Final energy**: -5.8 eV/f.u.
**E_form**: -0.30 eV/atom


6.
The following is a PBE calculation of a geometry-optimized Ho8GaGe3Se4 structure, from Alexandria.

Geometry as CIF:
```
data_Ho8GaGe3Se4
_space_group_name_H-M_alt 'R -3 m'
_space_group_IT_number 166
_space_group_name_Hall '-R 3 2"'
_cell_length_a 8.1511
_cell_length_b 8.1511
_cell_length_c 20.5293
_cell_angle_alpha 90.00
_cell_angle_beta 90.00
_cell_angle_gamma 120.00
loop_
_atom_site_label
_atom_site_fract_x
_atom_site_fract_y
_atom_site_fract_z
Ho1 0.0000 0.0000 0.2450
Ho2 0.0029 0.5015 0.7524
Ga1 0.0000 0.0000 0.5000
Ge1 0.0000 0.5000 0.5000
Se1 0.0000 0.0000 0.0000
Se2 0.0000 0.5000 0.0000
```

Calculated values
**Final energy**: -88.3 eV/f.u.
**Uncorrected formation energy**: -1.30 eV/atom


7.
The following is a PBE calculation of a geometry-optimized ThGa5Cu2Au structure, from Alexandria.

Geometry as CIF:
```
data_ThGa5Cu2Au
_space_group_name_H-M_alt 'P 4/m m m'
_space_group_IT_number 123
_space_group_name_Hall '-P 4 2'
_cell_length_a 4.2677
_cell_length_b 4.2677
_cell_length_c 10.0990
_cell_angle_alpha 90.00
_cell_angle_beta 90.00
_cell_angle_gamma 90.00
loop_
_atom_site_label
_atom_site_fract_x
_atom_site_fract_y
_atom_site_fract_z
Th1 0.0000 0.0000 0.0000
Ga1 0.0000 0.5000 0.3359
Ga2 0.5000 0.5000 0.0000
Cu1 0.5000 0.5000 0.2236
Au1 0.0000 0.0000 0.5000
```

Calculated values
**Final energy**: -34.6 eV/f.u.
**E_form**: -0.06 eV/atom


8.
The following is a PBE calculation of a geometry-optimized KLi2Zn structure, from Alexandria.

Geometry as CIF:
```
data_KLi2Zn
_space_group_name_H-M_alt 'I m m 2'
_space_group_IT_number 44
_space_group_name_Hall 'I 2 -2'
_cell_length_a 3.4939
_cell_length_b 4.1843
_cell_length_c 15.9879
_cell_angle_alpha 90.00
_cell_angle_beta 90.00
_cell_angle_gamma 90.00
loop_
_atom_site_label
_atom_site_fract_x
_atom_site_fract_y
_atom_site_fract_z
K1 0.0000 0.0000 0.0000
Li1 0.0000 0.0000 0.6757
Li2 0.0000 0.5000 0.8066
Zn1 0.0000 0.5000 0.3065
```

Calculated values
**Final energy**: -5.7 eV/f.u.
**E_form**: 0.11 eV/atom


9.
The following is a PBE calculation of a geometry-optimized CaFe2P structure, from Alexandria.

Geometry as CIF:
```
data_CaFe2P
_space_group_name_H-M_alt 'P 4/m m m'
_space_group_IT_number 123
_space_group_name_Hall '-P 4 2'
_cell_length_a 2.9171
_cell_length_b 2.9171
_cell_length_c 6.9600
_cell_angle_alpha 90.00
_cell_angle_beta 90.00
_cell_angle_gamma 90.00
loop_
_atom_site_label
_atom_site_fract_x
_atom_site_fract_y
_atom_site_fract_z
Ca1 0.0000 0.0000 0.0000
Fe1 0.5000 0.5000 0.3318
P1 0.0000 0.0000 0.5000
```

Calculated values
**Final energy**: -23.8 eV/f.u.
**E_form**: 0.13 eV/atom


10.
The following is a PBE calculation of a geometry-optimized PrNd2Pt structure, from Alexandria.

Geometry as CIF:
```
data_PrNd2Pt
_space_group_name_H-M_alt 'P n m a'
_space_group_IT_number 62
_space_group_name_Hall '-P 2ac 2n'
_cell_length_a 7.2912
_cell_length_b 10.0813
_cell_length_c 6.6959
_cell_angle_alpha 90.00
_cell_angle_beta 90.00
_cell_angle_gamma 90.00
loop_
_atom_site_label
_atom_site_fract_x
_atom_site_fract_y
_atom_site_fract_z
Pr1 0.0265 0.2500 0.1403
Nd1 0.1781 0.0621 0.6720
Pt1 0.1167 0.7500 0.4318
```

Calculated values
**Relative energy among the computed polymorphs**: 0.00 kcal/mol of atoms
**Final energy**: -22.8 eV/f.u.
**E_form**: -0.62 eV/atom


11.
The following is a PBE calculation of a geometry-optimized MgOsRh2 structure, from Alexandria.

Geometry as CIF:
```
data_MgOsRh2
_space_group_name_H-M_alt 'P m m 2'
_space_group_IT_number 25
_space_group_name_Hall 'P 2 -2'
_cell_length_a 2.7612
_cell_length_b 3.9564
_cell_length_c 5.4221
_cell_angle_alpha 90.00
_cell_angle_beta 90.00
_cell_angle_gamma 90.00
loop_
_atom_site_label
_atom_site_fract_x
_atom_site_fract_y
_atom_site_fract_z
Mg1 0.0000 0.0000 0.0000
Os1 0.5000 0.5000 0.2917
Rh1 0.0000 0.0000 0.4931
Rh2 0.5000 0.5000 0.7822
```

Calculated values
**Final energy**: -27.5 eV/f.u.
**E_form**: 0.01 eV/atom


12.
The following is a PBE calculation of a geometry-optimized Ta2TlTc structure, from Alexandria.

Geometry as CIF:
```
data_Ta2TlTc
_space_group_name_H-M_alt 'P 1 m 1'
_space_group_IT_number 6
_space_group_name_Hall 'P -2y'
_cell_length_a 2.9725
_cell_length_b 4.6068
_cell_length_c 5.5804
_cell_angle_alpha 90.00
_cell_angle_beta 100.34
_cell_angle_gamma 90.00
loop_
_atom_site_label
_atom_site_fract_x
_atom_site_fract_y
_atom_site_fract_z
Ta1 0.0000 0.0000 0.0000
Ta2 0.2962 0.5000 0.7455
Tl1 0.6767 0.0000 0.4817
Tc1 0.7181 0.5000 0.1743
```

Calculated values
**Relative energy among the computed polymorphs**: 2.58 kcal/mol of atoms
**Final energy**: -35.3 eV/f.u.
**E_form**: 0.29 eV/atom


Question: Which value of final energy does entry 7 give?
Answer: -34.6 eV/f.u.


Question: What is the formula in the ninth record?
Answer: CaFe2P


Question: Number 5 is which compound?
Answer: Sr2CdHg


Question: What is the formula in the second record?
Answer: Zr2N2O